1.
This record from Alexandria describes an optimized crystal structure of AcZnNi3. The functional is PBE.

Properties
M_tot	0.00	μB per atom
raw total energy	-48.22	eV/cell
formation energy from the elements	-0.28	eV per atom

a = 5.017 Å, b = 8.307 Å, c = 6.468 Å
α = 129.95°, β = 112.82°, γ = 90.00°
Element x y z (fractional)
Ac1 0.250 0.300 0.500
Ac2 0.750 0.700 0.500
Zn1 0.000 0.500 0.000
Zn2 0.500 0.000 0.000
Ni1 0.729 0.229 0.959
Ni2 0.229 0.229 0.959
Ni3 0.771 0.771 0.041
Ni4 0.271 0.771 0.041
Ni5 0.250 0.927 0.500
Ni6 0.750 0.073 0.500


2.
This record from Alexandria describes an optimized crystal structure of Tl2TeAs. The functional is PBE.

Properties
M_tot	0.00	μB per atom
raw total energy	-12.12	eV/cell
formation energy without anion corrections	9.6	kJ/mol of atoms

a = 6.508 Å, b = 6.508 Å, c = 3.178 Å
α = 89.99°, β = 89.99°, γ = 121.05°
Element x y z (fractional)
Tl1 0.000 0.000 0.000
Tl2 0.500 0.500 0.000
Te1 0.000 0.500 0.500
As1 0.500 0.000 0.500


3.
This record from Alexandria describes an optimized crystal structure of HfCuTe2I. The functional is PBE.

Properties
M_tot	0.00	μB per atom
raw total energy	-19.33	eV/cell
formation energy without anion corrections	49.3	kJ/mol of atoms

a = 5.158 Å, b = 5.158 Å, c = 5.098 Å
α = 90.00°, β = 90.00°, γ = 90.00°
Element x y z (fractional)
I1 0.000 0.000 0.500
Te1 0.000 0.500 0.000
Te2 0.500 0.000 0.000
Hf1 0.500 0.500 0.500
Cu1 0.000 0.000 0.000